Record 1
Below is a relaxed structure of LiUSb2, with properties calculated at the PBE-GGA level.

Output
distance to the lowest polymorph of the same formula: 0.2667 eV per atom

```
LiUSb2
1.0
-1.578 3.238 -2.499
-0.593 -0.638 -4.297
-6.728 -1.184 -1.132
Li U Sb
1 1 2
Cartesian
-8.031 0.599 -5.690 Li
-4.533 0.680 -3.948 U
-5.397 -0.730 -1.383 Sb
-2.115 0.392 -2.003 Sb
```



Record 2
Below is a relaxed structure of LiUSb, with properties calculated at the PBE-GGA level.

Output
distance to the lowest polymorph of the same formula: 0.0000 eV per atom

```
LiUSb
1.0
4.738 0.000 0.000
2.369 4.103 0.000
2.369 1.368 7.821
Sb Li U
2 2 2
Cartesian
4.738 2.735 2.042 Sb
4.738 2.735 5.779 Sb
2.369 1.368 0.820 Li
7.106 4.103 7.001 Li
7.106 4.103 3.829 U
2.369 1.368 3.992 U
```



Record 3
Below is a relaxed structure of LiUSb2, with properties calculated at the PBE-GGA level.

Output
distance to the lowest polymorph of the same formula: 0.0906 eV per atom

```
LiUSb2
1.0
3.197 0.000 0.000
0.000 5.540 0.000
0.000 0.000 5.540
Sb U Li
2 1 1
Cartesian
0.000 0.000 2.770 Sb
0.000 2.770 0.000 Sb
1.598 0.000 0.000 U
1.598 2.770 2.770 Li
```



Record 4
Below is a relaxed structure of LiUSb2, with properties calculated at the PBE-GGA level.

Output
distance to the lowest polymorph of the same formula: 0.1805 eV per atom

```
LiUSb2
1.0
-2.006 -0.830 4.702
2.030 -3.638 3.076
2.658 1.372 4.228
Sb U Li
2 1 1
Cartesian
0.670 -0.774 3.002 Sb
2.011 -2.323 9.005 Sb
1.341 -1.548 6.003 U
0.000 0.000 0.000 Li
```



Record 5
Below is a relaxed structure of LiUSb, with properties calculated at the PBE-GGA level.

Output
distance to the lowest polymorph of the same formula: 0.2995 eV per atom

```
LiUSb
1.0
-3.916 0.061 1.111
0.287 -3.873 1.222
3.006 3.295 2.956
Sb U Li
1 1 1
Cartesian
-1.515 -1.556 2.205 Sb
0.665 0.774 2.299 U
-0.754 -0.670 4.837 Li
```



Record 6
Below is a relaxed structure of Li2VSb4, with properties calculated at the PBE-GGA level.

```
Li2VSb4
1.0
5.110 0.000 0.000
0.000 5.110 0.000
2.555 2.555 6.892
Sb Li V
4 2 1
Cartesian
2.555 2.555 4.183 Sb
5.110 5.110 2.710 Sb
0.000 2.555 0.000 Sb
2.555 0.000 0.000 Sb
2.555 2.555 1.534 Li
5.110 5.110 5.359 Li
0.000 0.000 0.000 V
```



Record 7
Below is a relaxed structure of LiV3Sb, with properties calculated at the PBE-GGA level.

Output
distance to the lowest polymorph of the same formula: 0.4069 eV per atom

```
LiV3Sb
1.0
-2.408 -3.895 2.425
2.464 -3.408 -3.027
3.870 -0.254 3.436
Sb V Li
1 3 1
Cartesian
0.000 0.000 0.000 Sb
1.232 -1.704 -1.513 V
1.935 -0.127 1.718 V
-1.204 -1.947 1.212 V
1.963 -3.778 1.417 Li
```



Record 8
Below is a relaxed structure of LiV3Sb, with properties calculated at the PBE-GGA level.

Output
distance to the lowest polymorph of the same formula: 0.0000 eV per atom

```
LiV3Sb
1.0
4.216 0.000 0.000
0.000 4.216 0.000
0.000 0.000 4.216
Sb V Li
1 3 1
Cartesian
2.108 2.108 2.108 Sb
0.000 2.108 0.000 V
0.000 0.000 2.108 V
2.108 0.000 0.000 V
0.000 0.000 0.000 Li
```



Record 9
Below is a relaxed structure of Li2VSb2, with properties calculated at the PBE-GGA level.

```
Li2VSb2
1.0
7.089 0.000 0.000
0.000 7.089 0.000
0.000 0.000 4.378
Sb V Li
4 2 4
Cartesian
2.515 6.059 0.000 Sb
6.059 4.574 0.000 Sb
4.574 1.030 0.000 Sb
1.030 2.515 0.000 Sb
0.000 0.000 0.000 V
3.544 3.544 0.000 V
1.153 4.697 2.189 Li
4.697 5.936 2.189 Li
5.936 2.391 2.189 Li
2.391 1.153 2.189 Li
```



Record 10
Below is a relaxed structure of Li3VSb, with properties calculated at the PBE-GGA level.

Output
distance to the lowest polymorph of the same formula: 0.0000 eV per atom

```
Li3VSb
1.0
5.058 0.000 0.000
0.000 5.058 0.000
0.000 0.000 5.058
Sb V Li
1 1 3
Cartesian
0.000 0.000 0.000 Sb
2.529 2.529 2.529 V
0.000 2.529 0.000 Li
0.000 0.000 2.529 Li
2.529 0.000 0.000 Li
```



Record 11
Below is a relaxed structure of LiVSb2W, with properties calculated at the PBE-GGA level.

```
LiVSb2W
1.0
-5.051 -0.785 -0.767
-0.284 -2.273 4.198
-1.054 4.479 2.354
Sb Li W V
2 1 1 1
Cartesian
-0.527 2.240 1.177 Sb
-2.525 -0.393 -0.383 Sb
-0.142 -1.136 2.099 Li
0.000 0.000 0.000 W
-3.194 0.711 2.893 V
```



Record 12
Below is a relaxed structure of LiV2ZnSb, with properties calculated at the PBE-GGA level.

```
LiV2ZnSb
1.0
-3.943 1.313 2.523
0.330 -4.307 2.758
2.827 2.284 3.229
Sb Zn Li V
1 1 1 2
Cartesian
0.165 -2.153 1.379 Sb
0.000 0.000 0.000 Zn
-0.393 -0.354 4.255 Li
1.414 1.142 1.614 V
-1.971 0.657 1.262 V
```



Record 13
Below is a relaxed structure of Li2ZrVSb, with properties calculated at the PBE-GGA level.

```
Li2ZrVSb
1.0
4.698 0.000 0.000
0.000 4.837 0.000
0.000 0.000 4.698
Sb Li Zr V
1 2 1 1
Cartesian
2.349 2.419 2.349 Sb
0.000 0.000 2.349 Li
2.349 0.000 0.000 Li
0.000 2.419 0.000 Zr
0.000 0.000 0.000 V
```



Record 14
Below is a relaxed structure of LiSbW2, with properties calculated at the PBE-GGA level.

```
LiSbW2
1.0
4.495 0.000 0.000
0.000 3.843 0.000
0.000 0.000 3.843
Li Sb W
1 1 2
Cartesian
2.247 1.922 0.000 Li
2.247 0.000 1.922 Sb
0.000 0.000 0.000 W
0.000 1.922 1.922 W
```



Record 15
Below is a relaxed structure of LiSbW2, with properties calculated at the PBE-GGA level.

```
LiSbW2
1.0
4.512 0.000 0.000
2.256 3.908 0.000
2.256 1.303 3.684
Li Sb W
1 1 2
Cartesian
4.512 2.605 1.842 Li
2.256 1.303 0.921 Sb
0.000 0.000 0.000 W
6.769 3.908 2.763 W
```



Record 16
Below is a relaxed structure of Li3SbW, with properties calculated at the PBE-GGA level.

Output
distance to the lowest polymorph of the same formula: 0.0000 eV per atom

```
Li3SbW
1.0
-2.434 1.950 -3.860
-1.129 -4.563 -1.593
-4.175 0.097 2.682
Sb W Li
1 1 3
Cartesian
-3.869 -1.258 -1.386 Sb
0.000 0.000 0.000 W
-0.565 -2.281 -0.796 Li
-2.087 0.049 1.341 Li
-1.217 0.975 -1.930 Li
```



Record 17
Below is a relaxed structure of LiSbW2, with properties calculated at the PBE-GGA level.

```
LiSbW2
1.0
5.654 0.008 0.002
-2.912 4.847 0.002
0.801 1.419 2.526
Li Sb W
1 1 2
Cartesian
3.228 0.713 1.264 Li
-1.055 3.133 1.264 Sb
0.000 0.000 0.000 W
1.371 2.427 0.002 W
```



Record 18
Below is a relaxed structure of LiSbW, with properties calculated at the PBE-GGA level.

Output
distance to the lowest polymorph of the same formula: 0.1062 eV per atom

```
LiSbW
1.0
7.431 -0.006 0.004
6.660 2.835 -0.036
0.771 -0.748 2.740
Li Sb W
1 1 1
Cartesian
13.953 2.792 -0.003 Li
9.781 1.672 0.865 Sb
5.219 0.446 1.815 W
```



Record 19
Below is a relaxed structure of LiSbW2, with properties calculated at the PBE-GGA level.

```
LiSbW2
1.0
-2.135 1.562 -2.170
-2.629 -0.723 2.066
0.798 4.864 2.716
Li Sb W
1 1 2
Cartesian
-2.182 1.636 0.628 Li
-1.783 4.068 1.986 Sb
0.023 0.142 0.079 W
0.376 2.290 1.279 W
```



Record 20
Below is a relaxed structure of LiSbW, with properties calculated at the PBE-GGA level.

Output
distance to the lowest polymorph of the same formula: 0.4243 eV per atom

```
LiSbW
1.0
-3.014 -3.095 1.251
0.465 -2.130 3.934
-2.843 0.866 3.376
Li Sb W
1 1 1
Cartesian
0.000 0.000 0.000 Li
-2.696 -2.180 4.281 Sb
-4.045 -3.270 6.421 W
```



Record 21
Below is a relaxed structure of LiSb4W, with properties calculated at the PBE-GGA level.

```
LiSb4W
1.0
0.000 4.359 4.359
4.359 0.000 4.359
4.359 4.359 0.000
Li Sb W
1 4 1
Cartesian
0.000 0.000 0.000 Li
3.268 5.451 5.451 Sb
5.451 5.451 3.268 Sb
5.451 3.268 5.451 Sb
3.268 3.268 3.268 Sb
6.539 6.539 6.539 W
```



Record 22
Below is a relaxed structure of LiSbW, with properties calculated at the PBE-GGA level.

Output
distance to the lowest polymorph of the same formula: 0.0000 eV per atom

```
LiSbW
1.0
-3.516 3.568 -0.158
-4.069 -0.064 2.926
4.977 -0.510 0.291
Li Sb W
1 1 1
Cartesian
-0.001 0.000 0.000 Li
-5.051 2.333 1.843 Sb
-2.533 1.170 0.924 W
```



Record 23
Below is a relaxed structure of LiSbW2, with properties calculated at the PBE-GGA level.

```
LiSbW2
1.0
2.814 0.000 0.000
0.000 2.814 0.000
0.000 0.000 8.927
Li Sb W
1 1 2
Cartesian
1.407 1.407 2.232 Li
1.407 1.407 6.695 Sb
0.000 0.000 0.071 W
0.000 0.000 4.392 W
```



Record 24
Below is a relaxed structure of LiSbW2, with properties calculated at the PBE-GGA level.

```
LiSbW2
1.0
-1.929 3.240 -0.414
-1.340 -1.224 -3.331
-9.454 -3.054 2.766
Sb W Li
2 4 2
Cartesian
0.000 0.000 0.000 Sb
-6.508 0.597 0.240 Sb
-3.705 1.056 0.023 W
-3.473 -1.071 -1.448 W
-8.338 -1.554 0.617 W
-9.929 -0.507 -1.148 W
-1.634 1.008 -1.872 Li
-6.214 -1.635 -1.218 Li
```



Record 25
Below is a relaxed structure of LiSbW, with properties calculated at the PBE-GGA level.

Output
distance to the lowest polymorph of the same formula: 0.0619 eV per atom

```
LiSbW
1.0
4.722 0.000 0.000
-2.361 4.090 0.000
0.000 0.000 2.850
Li Sb W
1 1 1
Cartesian
0.000 0.000 2.848 Li
2.361 1.363 1.431 Sb
0.000 2.727 1.422 W
```



Record 26
Below is a relaxed structure of LiSbW2, with properties calculated at the PBE-GGA level.

```
LiSbW2
1.0
-0.563 -4.688 -1.974
0.754 0.307 5.052
-2.854 0.167 0.416
Li Sb W
1 1 2
Cartesian
-1.708 -2.260 -0.779 Li
-1.050 0.237 2.734 Sb
0.000 0.000 0.000 W
0.096 -2.190 1.539 W
```



Record 27
Below is a relaxed structure of LiSbW2, with properties calculated at the PBE-GGA level.

```
LiSbW2
1.0
2.940 -0.026 0.000
-1.075 2.737 0.000
0.000 0.000 9.218
Li Sb W
1 1 2
Cartesian
0.000 0.000 4.469 Li
0.932 1.355 6.985 Sb
0.000 0.000 0.188 W
0.932 1.355 2.185 W
```



Record 28
Below is a relaxed structure of Li4SbW, with properties calculated at the PBE-GGA level.

```
Li4SbW
1.0
0.201 3.439 3.703
2.256 4.454 -0.805
-2.772 4.218 -0.313
Li Sb W
4 1 1
Cartesian
-0.015 6.265 2.846 Li
-1.527 6.661 0.805 Li
1.029 6.781 0.555 Li
-0.118 4.517 0.964 Li
-0.236 9.084 1.939 Sb
0.000 0.000 0.000 W
```



Record 29
Below is a relaxed structure of LiSbW3, with properties calculated at the PBE-GGA level.

Output
distance to the lowest polymorph of the same formula: 1.0098 eV per atom

```
LiSbW3
1.0
-3.649 3.089 -1.237
-1.637 -3.265 -3.324
-2.897 -2.046 3.437
Sb W Li
1 3 1
Cartesian
0.000 0.000 0.000 Sb
-0.819 -1.633 -1.662 W
-1.448 -1.023 1.718 W
-1.825 1.545 -0.618 W
-4.092 -1.111 -0.562 Li
```



Number 1: total magnetization 2.51 μB/cell, formation energy (no corrections) -107.0 meV/atom. Number 2: total magnetization 6.80 μB/cell, formation energy (no corrections) -168.0 meV/atom. Number 3: total magnetization 2.43 μB/cell, formation energy (no corrections) -283.2 meV/atom. Number 4: total magnetization 2.00 μB/cell, formation energy (no corrections) -193.3 meV/atom. Number 5: total magnetization 3.78 μB/cell, formation energy (no corrections) 131.6 meV/atom. Number 6: total magnetization 0.00 μB/cell, formation energy (no corrections) 62.8 meV/atom. Number 7: total magnetization 10.76 μB/cell, formation energy (no corrections) 1264.4 meV/atom. Number 8: total magnetization 0.62 μB/cell, formation energy (no corrections) 857.5 meV/atom. Number 9: total magnetization 6.12 μB/cell, formation energy (no corrections) -180.4 meV/atom. Number 10: total magnetization 4.54 μB/cell, formation energy (no corrections) 490.8 meV/atom. Number 11: total magnetization 0.16 μB/cell, formation energy (no corrections) 1322.1 meV/atom. Number 12: total magnetization 7.13 μB/cell, formation energy (no corrections) 969.4 meV/atom. Number 13: total magnetization 2.38 μB/cell, formation energy (no corrections) 660.3 meV/atom. Number 14: total magnetization 0.00 μB/cell, formation energy (no corrections) 467.3 meV/atom. Number 15: total magnetization 0.00 μB/cell, formation energy (no corrections) 260.3 meV/atom. Number 16: total magnetization 4.04 μB/cell, formation energy (no corrections) 1289.8 meV/atom. Number 17: total magnetization 0.00 μB/cell, formation energy (no corrections) 575.8 meV/atom. Number 18: total magnetization 0.00 μB/cell, formation energy (no corrections) 502.8 meV/atom. Number 19: total magnetization 0.00 μB/cell, formation energy (no corrections) 705.3 meV/atom. Number 20: total magnetization 1.87 μB/cell, formation energy (no corrections) 820.8 meV/atom. Number 21: total magnetization 4.44 μB/cell, formation energy (no corrections) 977.1 meV/atom. Number 22: total magnetization 0.00 μB/cell, formation energy (no corrections) 396.6 meV/atom. Number 23: total magnetization 0.00 μB/cell, formation energy (no corrections) 1038.4 meV/atom. Number 24: total magnetization 0.00 μB/cell, formation energy (no corrections) 681.0 meV/atom. Number 25: total magnetization 0.00 μB/cell, formation energy (no corrections) 458.4 meV/atom. Number 26: total magnetization 0.00 μB/cell, formation energy (no corrections) 699.6 meV/atom. Number 27: total magnetization 0.00 μB/cell, formation energy (no corrections) 408.9 meV/atom. Number 28: total magnetization 2.43 μB/cell, formation energy (no corrections) 400.5 meV/atom. Number 29: total magnetization 0.00 μB/cell, formation energy (no corrections) 2531.1 meV/atom.